[1]
Entry from the Alexandria database: NiSnN after structural relaxation (GGA-PBE).

Properties
**Total energy**: -146.3 eV per cell
**D(E_F)**: 8.18 states/eV/cell
**Total moment**: 0.0 μB/cell
**Formation energy (no corrections)**: -0.059 eV/atom

Lattice parameters (Å, degrees): 5.070 5.078 16.536 90.00 90.00 90.00
Space group Fmmm (No. 69)
Unique sites:
Ni: 0.000 0.000 0.144 (multiplicity 8)
Sn: 0.000 0.000 0.311 (multiplicity 8)
N: 0.000 0.000 0.035 (multiplicity 8)

***

[2]
Entry from the Alexandria database: FeSb2MoAs after structural relaxation (GGA-PBE).

Properties
**Total energy**: -26.1 eV per cell
**D(E_F)**: 5.68 states/eV/cell
**Total moment**: 5.6 μB/cell
**Formation energy (no corrections)**: 1.219 eV/atom

Lattice parameters (Å, degrees): 5.370 5.370 4.316 90.00 90.00 90.00
Space group P4/mmm (No. 123)
Unique sites:
Fe: 0.000 0.000 0.000 (multiplicity 1)
Sb: 0.000 0.500 0.500 (multiplicity 2)
Mo: 0.500 0.500 0.000 (multiplicity 1)
As: 0.000 0.000 0.500 (multiplicity 1)

***

[3]
Entry from the Alexandria database: Er7TmTl5 after structural relaxation (GGA-PBE).

Properties
**ΔE_f**: -1.5 eV per formula unit
**Total energy**: -99.5 eV per cell
**D(E_F)**: 31.80 states/eV/cell
**Total moment**: 0.0 μB/cell

Lattice parameters (Å, degrees): 6.462 10.834 10.726 90.00 90.00 90.00
Space group Imm2 (No. 44)
Unique sites:
Er: 0.000 0.000 0.000 (multiplicity 2)
Er: 0.000 0.000 0.320 (multiplicity 2)
Er: 0.000 0.311 0.116 (multiplicity 4)
Er: 0.000 0.340 0.632 (multiplicity 4)
Er: 0.000 0.500 0.358 (multiplicity 2)
Tm: 0.000 0.000 0.663 (multiplicity 2)
Tl: 0.000 0.500 0.889 (multiplicity 2)
Tl: 0.249 0.237 0.872 (multiplicity 8)